DFT (PBE) results for a relaxed structure of Mg2InPO6.

Cell and atoms, written as CIF:
```
data_Mg2InPO6
_cell_length_a 8.362
_cell_length_b 12.557
_cell_length_c 6.027
_cell_angle_alpha 90.00
_cell_angle_beta 125.19
_cell_angle_gamma 90.00
_space_group_name_H-M_alt 'C 1 2/c 1'
_space_group_IT_number 15
loop_
_space_group_symop_operation_xyz
'x,y,z'
'-x,-y,-z'
'-x,y,-z+1/2'
'x,-y,z+1/2'
'x+1/2,y+1/2,z'
'-x+1/2,-y+1/2,-z'
'-x+1/2,y+1/2,-z+1/2'
'x+1/2,-y+1/2,z+1/2'
loop_
_atom_site_label
_atom_site_type_symbol
_atom_site_fract_x
_atom_site_fract_y
_atom_site_fract_z
Mg1 Mg 0.113 0.087 0.139
In1 In 0.000 0.438 0.250
P1 P 0.000 0.301 0.750
O1 O 0.095 0.391 0.665
O2 O 0.100 0.233 0.004
O3 O 0.179 0.053 0.515
```

Results
Total moment in Bohr magnetons per cell: 0.00
D(E_F) in states/eV per atom: 0.00
Formation energy from raw total energies in eV/atom: -2.0676
Energy in eV per atom: -6.18
Calculated volume in Å³ per cell: 517.10